First-principles (PBE with a Hubbard U) data for a geometry-optimized KPa2CrO8 structure, as listed in Alexandria via LeMat-Bulk.

a = 5.0035 Å, b = 5.0207 Å, c = 7.0710 Å
α = 90.27°, β = 90.59°, γ = 92.15°
Closest atoms and distances in Å follow each position.
Element x y z (fractional)
K 0.0000 0.0000 0.0000  6 O 2.40-2.61
Pa 0.4931 0.4943 0.7461  5 O 2.08-2.28
Pa 0.5069 0.5057 0.2539  5 O 2.08-2.28
Cr 0.0000 0.0000 0.5000  4 O 1.77-1.95
O 0.1826 0.1788 0.3250  1 Cr 1.77
O 0.2035 0.1950 0.6951  1 Cr 1.95, 1 Pa 2.08
O 0.2963 0.6988 0.5000  1 Cr 2.16, 2 Pa 2.26-2.28
O 0.3255 0.6599 0.0004  2 Pa 2.16-2.17, 1 K 2.40, 1 O 2.42
O 0.6745 0.3401 0.9996  2 Pa 2.16-2.17, 1 K 2.40, 1 O 2.42
O 0.7037 0.3012 0.5000  1 Cr 2.16, 2 Pa 2.26-2.28
O 0.7965 0.8050 0.3049  1 Cr 1.95, 1 Pa 2.08
O 0.8174 0.8212 0.6750  1 Cr 1.77

Its electronic total energy is -8.133 eV per atom. The calculation puts the magnetic moment at 0.080 μB per atom. Its space-group type is P-1, No. 2.